Entry 1:
Below is a relaxed RbNbCd crystal, with properties calculated at the GGA-PBE level.

Structure (extended XYZ):
```
3
Lattice="0.000 3.820 3.820 3.820 0.000 3.820 3.820 3.820 0.000" Properties=species:S:1:pos:R:3 pbc="T T T"
Rb 0.000 0.000 0.000
Nb 3.820 3.820 3.820
Cd 5.729 5.729 5.729
```

* offset from the most stable computed form: 0.000 eV/atom
* DFT total energy: -7.6 eV for the cell shown
* SG: F-43m (216)



Entry 2:
Below is a relaxed HoSeF crystal, with properties calculated at the GGA-PBE level.

Structure (extended XYZ):
```
12
Lattice="9.850 0.000 0.000 0.000 4.062 0.000 0.000 0.000 6.268" Properties=species:S:1:pos:R:3 pbc="T T T"
Ho 0.780 1.016 1.471
Ho 4.145 3.047 4.605
Ho 5.705 1.016 1.663
Ho 9.069 3.047 4.797
Se 1.633 3.047 3.349
Se 3.292 1.016 0.215
Se 6.558 3.047 6.053
Se 8.217 1.016 2.919
F 0.330 3.047 0.567
F 4.595 1.016 3.701
F 5.255 3.047 2.567
F 9.520 1.016 5.701
```

* DFT total energy: -74.4 eV for the cell shown
* SG: Pnma (62)



Entry 3:
Below is a relaxed ZnCoSbW crystal, with properties calculated at the GGA-PBE level.

Structure (extended XYZ):
```
4
Lattice="0.000 3.139 3.139 3.139 0.000 3.139 3.139 3.139 0.000" Properties=species:S:1:pos:R:3 pbc="T T T"
Zn 0.000 0.000 0.000
Co 4.709 4.709 4.709
Sb 3.139 3.139 3.139
W 1.570 1.570 1.570
```

* offset from the most stable computed form: 0.000 eV/atom
* DFT total energy: -23.4 eV for the cell shown
* SG: F-43m (216)